Entry 1:
! Ce2DyTh3S6 PBE-GGA optimized geometry; values from VASP
&SYSTEM
  ibrav = 0, nat = 12, ntyp = 4
/
ATOMIC_SPECIES
Ce 140.12 Ce.upf
Dy 162.50 Dy.upf
Th 232.04 Th.upf
S 32.06 S.upf
CELL_PARAMETERS angstrom
3.4596 -5.9955 0.0000
3.4596 5.9955 0.0000
-2.3076 0.0000 6.5898
ATOMIC_POSITIONS angstrom
Ce 3.4596 3.9987 0.0000
Ce 3.4596 -3.9987 0.0000
Dy 3.4596 0.0000 0.0000
Th -1.1538 0.0000 3.2949
Th 2.3058 2.0215 3.2949
Th 2.3058 -2.0215 3.2949
S 0.0209 1.9626 4.9996
S 1.1950 0.0000 1.6118
S 0.0209 -1.9626 4.9996
S 4.5907 1.9626 1.5901
S 3.4166 0.0000 4.9779
S 4.5907 -1.9626 1.5901
! SG ... C2/m (12)
! Final energy ... -86.8 eV for the cell shown

Entry 2:
! InMoPb4 PBE-GGA optimized geometry; values from VASP
&SYSTEM
  ibrav = 0, nat = 6, ntyp = 3
/
ATOMIC_SPECIES
In 114.82 In.upf
Mo 95.94 Mo.upf
Pb 207.20 Pb.upf
CELL_PARAMETERS angstrom
0.0000 4.5298 4.5298
4.5298 0.0000 4.5298
4.5298 4.5298 0.0000
ATOMIC_POSITIONS angstrom
In 0.0000 0.0000 0.0000
Mo 6.7947 6.7947 6.7947
Pb 3.4035 3.4035 3.4035
Pb 5.6561 5.6561 3.4035
Pb 5.6561 3.4035 5.6561
Pb 3.4035 5.6561 5.6561
! SG ... F-43m (216)
! Final energy ... -23.8 eV for the cell shown

Entry 3:
! TiTc2Mo6 PBE-GGA optimized geometry; values from VASP
&SYSTEM
  ibrav = 0, nat = 9, ntyp = 3
/
ATOMIC_SPECIES
Ti 47.87 Ti.upf
Tc 98.00 Tc.upf
Mo 95.94 Mo.upf
CELL_PARAMETERS angstrom
4.9909 -1.5728 0.0000
4.9909 1.5728 0.0000
-3.0920 0.0000 8.9090
ATOMIC_POSITIONS angstrom
Ti 0.0000 0.0000 0.0000
Tc 0.9243 0.0000 6.9427
Tc 5.9655 0.0000 1.9663
Mo -2.0336 0.0000 5.9587
Mo 2.9672 0.0000 0.9898
Mo 1.9342 0.0000 3.9681
Mo 4.9556 0.0000 4.9409
Mo 3.9226 0.0000 7.9192
Mo 8.9234 0.0000 2.9503
! SG ... C2/m (12)
! Final energy ... -94.6 eV for the cell shown

Entry 4:
! EuTlGa2 PBE-GGA optimized geometry; values from VASP
&SYSTEM
  ibrav = 0, nat = 4, ntyp = 3
/
ATOMIC_SPECIES
Eu 151.96 Eu.upf
Tl 204.38 Tl.upf
Ga 69.72 Ga.upf
CELL_PARAMETERS angstrom
0.0000 3.6762 3.6762
3.6762 0.0000 3.6762
3.6762 3.6762 0.0000
ATOMIC_POSITIONS angstrom
Eu 0.0000 0.0000 0.0000
Tl 3.6762 3.6762 3.6762
Ga 1.8381 1.8381 1.8381
Ga 5.5144 5.5144 5.5144
! SG ... Fm-3m (225)
! Final energy ... -19.6 eV for the cell shown

Entry 5:
! AlFeSb2 PBE-GGA optimized geometry; values from VASP
&SYSTEM
  ibrav = 0, nat = 4, ntyp = 3
/
ATOMIC_SPECIES
Al 26.98 Al.upf
Fe 55.84 Fe.upf
Sb 121.76 Sb.upf
CELL_PARAMETERS angstrom
3.1731 0.0000 0.0000
0.0000 3.1731 0.0000
0.0000 0.0000 8.0107
ATOMIC_POSITIONS angstrom
Al 0.0000 0.0000 0.0000
Fe 1.5866 1.5866 1.1170
Sb 0.0000 0.0000 2.7911
Sb 1.5866 1.5866 6.0779
! SG ... P4mm (99)
! Final energy ... -20.2 eV for the cell shown

Entry 6:
! PPb2Se PBE-GGA optimized geometry; values from VASP
&SYSTEM
  ibrav = 0, nat = 4, ntyp = 3
/
ATOMIC_SPECIES
P 30.97 P.upf
Pb 207.20 Pb.upf
Se 78.96 Se.upf
CELL_PARAMETERS angstrom
4.0695 0.0000 0.0000
0.0000 1.9831 7.0495
0.0000 -1.9831 7.0495
ATOMIC_POSITIONS angstrom
P 0.0000 0.0000 0.0000
Pb 0.0000 0.0000 4.5621
Pb 2.0348 0.0000 7.7069
Se 2.0348 0.0000 10.5119
! SG ... Amm2 (38)
! Final energy ... -16.6 eV for the cell shown

Entry 7:
! B2C PBE-GGA optimized geometry; values from VASP
&SYSTEM
  ibrav = 0, nat = 12, ntyp = 2
/
ATOMIC_SPECIES
B 10.81 B.upf
C 12.01 C.upf
CELL_PARAMETERS angstrom
2.5133 0.0000 0.0000
-1.2566 2.1765 0.0000
0.0000 0.0000 15.1550
ATOMIC_POSITIONS angstrom
B 0.0000 0.0000 0.8400
B 0.0000 0.0000 14.3150
B 0.0000 1.4510 1.9400
B 0.0000 1.4510 3.6127
B 0.0000 1.4510 10.4572
B 1.2566 0.7255 4.6978
B 1.2566 0.7255 11.5423
B 1.2566 0.7255 13.2149
C 0.0000 0.0000 6.8044
C 0.0000 0.0000 8.3506
C 0.0000 1.4510 8.8765
C 1.2566 0.7255 6.2785
! SG ... P-3m1 (164)
! Final energy ... -84.4 eV for the cell shown

Entry 8:
! BaHoZn2 PBE-GGA optimized geometry; values from VASP
&SYSTEM
  ibrav = 0, nat = 4, ntyp = 3
/
ATOMIC_SPECIES
Ba 137.33 Ba.upf
Ho 164.93 Ho.upf
Zn 65.41 Zn.upf
CELL_PARAMETERS angstrom
0.0000 3.8118 3.8118
3.8118 0.0000 3.8118
3.8118 3.8118 0.0000
ATOMIC_POSITIONS angstrom
Ba 0.0000 0.0000 0.0000
Ho 3.8118 3.8118 3.8118
Zn 1.9059 1.9059 1.9059
Zn 5.7176 5.7176 5.7176
! SG ... Fm-3m (225)
! Final energy ... -9.4 eV for the cell shown

Entry 9:
! PuTc2Ge PBE-GGA optimized geometry; values from VASP
&SYSTEM
  ibrav = 0, nat = 4, ntyp = 3
/
ATOMIC_SPECIES
Pu 244.00 Pu.upf
Tc 98.00 Tc.upf
Ge 72.64 Ge.upf
CELL_PARAMETERS angstrom
0.0000 3.2119 3.2119
3.2119 0.0000 3.2119
3.2119 3.2119 0.0000
ATOMIC_POSITIONS angstrom
Pu 0.0000 0.0000 0.0000
Tc 1.6060 1.6060 1.6060
Tc 4.8179 4.8179 4.8179
Ge 3.2119 3.2119 3.2119
! SG ... Fm-3m (225)
! Final energy ... -40.2 eV for the cell shown

Entry 10:
! Ag12Hg3Br5 PBE-GGA optimized geometry; values from VASP
&SYSTEM
  ibrav = 0, nat = 80, ntyp = 3
/
ATOMIC_SPECIES
Ag 107.87 Ag.upf
Hg 200.59 Hg.upf
Br 79.90 Br.upf
CELL_PARAMETERS angstrom
-8.1987 8.1987 8.1987
8.1987 -8.1987 8.1987
8.1987 8.1987 -8.1987
ATOMIC_POSITIONS angstrom
Ag 2.5504 -0.0387 1.2417
Ag 9.7477 5.3410 -4.1381
Ag 10.7491 0.0387 1.2417
Ag 9.7477 -2.8577 4.1381
Ag 8.1600 -1.2417 2.5504
Ag 12.3368 -1.5490 2.8577
Ag 1.2417 2.5504 -0.0387
Ag 11.0565 4.0607 -1.5490
Ag 5.3410 4.1381 -1.5490
Ag 6.9571 2.5504 0.0387
Ag -0.0387 1.2417 2.5504
Ag 4.1381 -1.5490 5.3410
Ag 8.1600 6.9571 -2.5504
Ag 4.1381 1.5490 2.8577
Ag 5.3410 -4.1381 9.7477
Ag 6.9571 -2.5504 8.1600
Ag 2.8577 4.1381 1.5490
Ag 9.4404 5.6484 0.0387
Ag 4.1381 9.7477 -2.8577
Ag 8.1600 1.2417 5.6484
Ag 2.5504 8.1600 -1.2417
Ag 9.7477 2.8577 4.0607
Ag 1.5490 2.8577 4.1381
Ag 2.5504 0.0387 6.9571
Ag 5.6484 8.1600 1.2417
Ag 6.6498 5.3410 4.0607
Ag -1.5490 5.3410 4.1381
Ag 5.6484 0.0387 9.4404
Ag 0.0387 6.9571 2.5504
Ag 4.0607 -1.5490 11.0565
Ag -1.2417 2.5504 8.1600
Ag 5.3410 4.0607 6.6498
Ag 1.2417 10.7491 0.0387
Ag 2.8577 12.3368 -1.5490
Ag 4.0607 6.6498 5.3410
Ag 0.0387 1.2417 10.7491
Ag 4.0607 9.7477 2.8577
Ag 8.2374 6.9571 5.6484
Ag 1.2417 5.6484 8.1600
Ag 2.8577 4.0607 9.7477
Ag -2.8577 4.1381 9.7477
Ag 6.9571 5.6484 8.2374
Ag -4.1381 9.7477 5.3410
Ag 0.0387 9.4404 5.6484
Ag -1.5490 11.0565 4.0607
Ag -2.5504 8.1600 6.9571
Ag -1.5490 2.8577 12.3368
Ag 5.6484 8.2374 6.9571
Hg 4.0994 2.0497 0.0000
Hg 8.1987 4.0994 -2.0497
Hg 2.0497 0.0000 4.0994
Hg 10.2484 0.0000 4.0994
Hg 0.0000 4.0994 2.0497
Hg 4.0994 -2.0497 8.1987
Hg 4.0994 10.2484 0.0000
Hg 8.1987 4.0994 6.1491
Hg -2.0497 8.1987 4.0994
Hg 6.1491 8.1987 4.0994
Hg 0.0000 4.0994 10.2484
Hg 4.0994 6.1491 8.1987
Br 0.0000 0.0000 0.0000
Br 4.0994 4.0994 -4.0994
Br 4.0994 -4.0994 4.0994
Br 8.1987 0.0000 0.0000
Br 12.2981 2.0497 0.0000
Br 8.1987 -4.0994 6.1491
Br 6.1491 8.1987 -4.0994
Br 6.1491 0.0000 4.0994
Br 4.0994 6.1491 0.0000
Br 8.1987 4.0994 2.0497
Br -4.0994 4.0994 4.0994
Br 0.0000 8.1987 0.0000
Br 0.0000 0.0000 8.1987
Br 4.0994 4.0994 4.0994
Br 0.0000 4.0994 6.1491
Br 4.0994 2.0497 8.1987
Br 2.0497 8.1987 4.0994
Br 2.0497 0.0000 12.2981
Br 0.0000 12.2981 2.0497
Br -4.0994 6.1491 8.1987
! SG ... Ia-3d (230)
! Final energy ... -169.6 eV for the cell shown

Entry 11:
! AlBiF3 PBE-GGA optimized geometry; values from VASP
&SYSTEM
  ibrav = 0, nat = 5, ntyp = 3
/
ATOMIC_SPECIES
Al 26.98 Al.upf
Bi 208.98 Bi.upf
F 19.00 F.upf
CELL_PARAMETERS angstrom
4.7215 0.0000 0.0000
0.0000 4.7215 0.0000
0.0000 0.0000 4.7215
ATOMIC_POSITIONS angstrom
Al 0.0000 0.0000 0.0000
Bi 2.3607 2.3607 2.3607
F 0.0000 2.3607 2.3607
F 2.3607 0.0000 2.3607
F 2.3607 2.3607 0.0000
! SG ... Pm-3m (221)
! Final energy ... -20.3 eV for the cell shown

Entry 12:
! La5Tm4Th PBE-GGA optimized geometry; values from VASP
&SYSTEM
  ibrav = 0, nat = 10, ntyp = 3
/
ATOMIC_SPECIES
La 138.91 La.upf
Tm 168.93 Tm.upf
Th 232.04 Th.upf
CELL_PARAMETERS angstrom
9.0387 -1.7655 0.0000
9.0387 1.7655 0.0000
-3.1029 0.0000 10.6841
ATOMIC_POSITIONS angstrom
La 0.0000 0.0000 0.0000
La 2.5931 0.0000 9.6119
La 6.5008 0.0000 2.3634
La 8.4737 0.0000 8.3207
La 12.3814 0.0000 1.0722
Tm 1.7460 0.0000 6.1866
Tm 5.2086 0.0000 7.2555
Tm 9.7659 0.0000 3.4286
Tm 13.2285 0.0000 4.4974
Th -1.5514 0.0000 5.3420
! SG ... C2/m (12)
! Final energy ... -49.1 eV for the cell shown

Entry 13:
! CeGdNiAg PBE-GGA optimized geometry; values from VASP
&SYSTEM
  ibrav = 0, nat = 4, ntyp = 4
/
ATOMIC_SPECIES
Ce 140.12 Ce.upf
Gd 157.25 Gd.upf
Ni 58.69 Ni.upf
Ag 107.87 Ag.upf
CELL_PARAMETERS angstrom
0.0000 3.5771 3.5771
3.5771 0.0000 3.5771
3.5771 3.5771 0.0000
ATOMIC_POSITIONS angstrom
Ce 0.0000 0.0000 0.0000
Gd 3.5771 3.5771 3.5771
Ni 5.3657 5.3657 5.3657
Ag 1.7886 1.7886 1.7886
! SG ... F-43m (216)
! Final energy ... -29.3 eV for the cell shown

Entry 14:
! Pr6Si2SnTe3 PBE-GGA optimized geometry; values from VASP
&SYSTEM
  ibrav = 0, nat = 12, ntyp = 4
/
ATOMIC_SPECIES
Pr 140.91 Pr.upf
Si 28.09 Si.upf
Sn 118.71 Sn.upf
Te 127.60 Te.upf
CELL_PARAMETERS angstrom
9.8098 -2.2220 0.0000
9.8098 2.2220 0.0000
-2.2381 0.0000 8.7637
ATOMIC_POSITIONS angstrom
Pr -0.4047 0.0000 2.1998
Pr 5.4480 0.0000 3.7819
Pr 4.5248 0.0000 7.8561
Pr 12.8567 0.0000 0.9076
Pr 11.9334 0.0000 4.9818
Pr 17.7861 0.0000 6.5639
Si 2.5428 0.0000 2.9358
Si 14.8386 0.0000 5.8279
Sn 9.8098 0.0000 0.0000
Te 1.3648 0.0000 7.2922
Te 8.6907 0.0000 4.3818
Te 16.0166 0.0000 1.4715
! SG ... C2/m (12)
! Final energy ... -66.3 eV for the cell shown

Entry 15:
! YTaAs2 PBE-GGA optimized geometry; values from VASP
&SYSTEM
  ibrav = 0, nat = 4, ntyp = 3
/
ATOMIC_SPECIES
Y 88.91 Y.upf
Ta 180.95 Ta.upf
As 74.92 As.upf
CELL_PARAMETERS angstrom
2.0197 -2.4502 0.0000
2.0197 2.4502 0.0000
0.0000 0.0000 9.2968
ATOMIC_POSITIONS angstrom
Y 0.0000 0.0000 0.0000
Ta 2.0197 0.0000 6.8269
As 0.0000 0.0000 5.2018
As 2.0197 0.0000 2.1185
! SG ... Cmm2 (35)
! Final energy ... -27.9 eV for the cell shown

Entry 16:
! Dy2YHo8 PBE-GGA optimized geometry; values from VASP
&SYSTEM
  ibrav = 0, nat = 11, ntyp = 3
/
ATOMIC_SPECIES
Dy 162.50 Dy.upf
Y 88.91 Y.upf
Ho 164.93 Ho.upf
CELL_PARAMETERS angstrom
-2.7389 4.0585 7.8692
2.7389 -4.0585 7.8692
2.7389 4.0585 -7.8692
ATOMIC_POSITIONS angstrom
Dy 0.0000 0.0000 3.1721
Dy 0.0000 0.0000 12.5663
Y 0.0000 0.0000 7.8692
Ho 2.7389 1.6726 -2.1796
Ho 0.0000 1.6649 0.0000
Ho 2.7389 0.0000 5.3355
Ho 2.7389 1.6726 2.1796
Ho 0.0000 2.3860 5.6896
Ho 0.0000 4.0585 2.5337
Ho 0.0000 6.4521 0.0000
Ho 0.0000 2.3860 10.0489
! SG ... Immm (71)
! Final energy ... -51.0 eV for the cell shown

Entry 17:
! LaPr3Er2S6 PBE-GGA optimized geometry; values from VASP
&SYSTEM
  ibrav = 0, nat = 12, ntyp = 4
/
ATOMIC_SPECIES
La 138.91 La.upf
Pr 140.91 Pr.upf
Er 167.26 Er.upf
S 32.06 S.upf
CELL_PARAMETERS angstrom
3.4786 -6.0383 0.0000
3.4786 6.0383 0.0000
-2.3327 0.0000 6.6378
ATOMIC_POSITIONS angstrom
La 0.0000 0.0000 0.0000
Pr 2.3123 4.0900 3.3189
Pr 2.3123 0.0000 3.3189
Pr 2.3123 -4.0900 3.3189
Er 3.4786 2.0163 0.0000
Er 3.4786 -2.0163 0.0000
S 1.2042 2.0966 1.5707
S 0.0872 0.0000 5.1038
S 1.2042 -2.0966 1.5707
S 3.4204 2.0966 5.0671
S 4.5374 0.0000 1.5340
S 3.4204 -2.0966 5.0671
! SG ... C2/m (12)
! Final energy ... -77.4 eV for the cell shown

Entry 18:
! Pm6YCd PBE-GGA optimized geometry; values from VASP
&SYSTEM
  ibrav = 0, nat = 8, ntyp = 3
/
ATOMIC_SPECIES
Pm 145.00 Pm.upf
Y 88.91 Y.upf
Cd 112.41 Cd.upf
CELL_PARAMETERS angstrom
3.4116 -5.7588 0.0000
3.4116 5.7588 0.0000
-1.2364 0.0000 6.6780
ATOMIC_POSITIONS angstrom
Pm 1.6945 3.2186 4.9446
Pm 0.5291 0.0000 6.3322
Pm 3.8923 3.2186 1.7334
Pm 1.6945 -3.2186 4.9446
Pm 5.0577 0.0000 0.3458
Pm 3.8923 -3.2186 1.7334
Y 2.7934 0.0000 3.3390
Cd -0.6182 0.0000 3.3390
! SG ... C2/m (12)
! Final energy ... -36.3 eV for the cell shown

Entry 19:
! Ga3GePd12 PBE-GGA optimized geometry; values from VASP
&SYSTEM
  ibrav = 0, nat = 16, ntyp = 3
/
ATOMIC_SPECIES
Ga 69.72 Ga.upf
Ge 72.64 Ge.upf
Pd 106.42 Pd.upf
CELL_PARAMETERS angstrom
3.9262 0.0000 0.0000
0.0000 3.9262 0.0000
0.0000 0.0000 15.7019
ATOMIC_POSITIONS angstrom
Ga 0.0000 0.0000 0.0000
Ga 0.0000 0.0000 3.8988
Ga 0.0000 0.0000 11.8031
Ge 0.0000 0.0000 7.8509
Pd 0.0000 1.9631 1.9587
Pd 0.0000 1.9631 5.8869
Pd 0.0000 1.9631 9.8150
Pd 0.0000 1.9631 13.7431
Pd 1.9631 0.0000 1.9587
Pd 1.9631 0.0000 5.8869
Pd 1.9631 0.0000 9.8150
Pd 1.9631 0.0000 13.7431
Pd 1.9631 1.9631 0.0000
Pd 1.9631 1.9631 3.9300
Pd 1.9631 1.9631 7.8509
Pd 1.9631 1.9631 11.7718
! SG ... P4/mmm (123)
! Final energy ... -82.9 eV for the cell shown

Entry 20:
! Mg14CoB PBE-GGA optimized geometry; values from VASP
&SYSTEM
  ibrav = 0, nat = 16, ntyp = 3
/
ATOMIC_SPECIES
Mg 24.30 Mg.upf
Co 58.93 Co.upf
B 10.81 B.upf
CELL_PARAMETERS angstrom
6.1760 0.0000 0.0000
-3.0880 5.3485 0.0000
0.0000 0.0000 9.6469
ATOMIC_POSITIONS angstrom
Mg 0.0000 0.0000 2.4046
Mg 0.0000 0.0000 7.2422
Mg -1.4580 2.7239 2.4294
Mg -1.4580 2.7239 7.2175
Mg 1.5334 0.8853 4.8234
Mg 1.5504 0.8951 0.0000
Mg 1.4580 2.7239 2.4294
Mg 1.4580 2.7239 7.2175
Mg 0.0000 5.2493 2.4294
Mg 0.0000 5.2493 7.2175
Mg 4.6256 0.8951 0.0000
Mg 3.0880 3.5584 0.0000
Mg 4.6425 0.8853 4.8234
Mg 3.0880 3.5779 4.8234
Co 0.0000 3.5657 0.0000
B 0.0000 3.5657 4.8234
! SG ... P-6m2 (187)
! Final energy ... -32.5 eV for the cell shown

Total moment (μB per formula unit)
0.45; 3.99; 0.00; 6.91; 0.80; 0.00; 0.00; 0.00; 3.28; 0.00; 0.00; 0.00; 6.46; 0.00; 0.00; 0.00; 0.00; 0.00; 0.00; 0.86